DFT (PBE-GGA) results for a geometry-optimized Cd2ReSiF structure.

```
data_Cd2ReSiF
_cell_length_a 4.7195
_cell_length_b 4.7195
_cell_length_c 4.2078
_cell_angle_alpha 90.00
_cell_angle_beta 90.00
_cell_angle_gamma 90.00
_symmetry_space_group_name_H-M 'P 4/m m m'
_symmetry_Int_Tables_number 123
_symmetry_space_group_name_Hall '-P 4 2'
loop_
_atom_site_label
_atom_site_type_symbol
_atom_site_fract_x
_atom_site_fract_y
_atom_site_fract_z
_atom_site_occupancy
Cd1 Cd 0.0000 0.5000 0.0000 1
Re1 Re 0.0000 0.0000 0.5000 1
Si1 Si 0.5000 0.5000 0.5000 1
F1 F 0.0000 0.0000 0.0000 1
```

***

DFT (PBE-GGA) results for a geometry-optimized Sr2CdReF structure.

```
data_Sr2CdReF
_cell_length_a 5.7357
_cell_length_b 5.7357
_cell_length_c 5.1311
_cell_angle_alpha 90.00
_cell_angle_beta 90.00
_cell_angle_gamma 90.00
_symmetry_space_group_name_H-M 'P 4/m m m'
_symmetry_Int_Tables_number 123
_symmetry_space_group_name_Hall '-P 4 2'
loop_
_atom_site_label
_atom_site_type_symbol
_atom_site_fract_x
_atom_site_fract_y
_atom_site_fract_z
_atom_site_occupancy
Sr1 Sr 0.0000 0.5000 0.0000 1
Cd1 Cd 0.0000 0.0000 0.5000 1
Re1 Re 0.0000 0.0000 0.0000 1
F1 F 0.5000 0.5000 0.5000 1
```

***

DFT (PBE-GGA) results for a geometry-optimized TaCdRe2F structure.

```
data_TaCdRe2F
_cell_length_a 4.7997
_cell_length_b 4.7997
_cell_length_c 5.6249
_cell_angle_alpha 90.00
_cell_angle_beta 90.00
_cell_angle_gamma 90.00
_symmetry_space_group_name_H-M 'P 4/m m m'
_symmetry_Int_Tables_number 123
_symmetry_space_group_name_Hall '-P 4 2'
loop_
_atom_site_label
_atom_site_type_symbol
_atom_site_fract_x
_atom_site_fract_y
_atom_site_fract_z
_atom_site_occupancy
Ta1 Ta 0.0000 0.0000 0.0000 1
Cd1 Cd 0.0000 0.0000 0.5000 1
Re1 Re 0.0000 0.5000 0.0000 1
F1 F 0.5000 0.5000 0.5000 1
```

***

DFT (PBE-GGA) results for a geometry-optimized CdRe2TeF structure.

```
data_CdRe2TeF
_cell_length_a 5.3512
_cell_length_b 5.3512
_cell_length_c 5.3430
_cell_angle_alpha 90.00
_cell_angle_beta 90.00
_cell_angle_gamma 90.00
_symmetry_space_group_name_H-M 'P 4/m m m'
_symmetry_Int_Tables_number 123
_symmetry_space_group_name_Hall '-P 4 2'
loop_
_atom_site_label
_atom_site_type_symbol
_atom_site_fract_x
_atom_site_fract_y
_atom_site_fract_z
_atom_site_occupancy
Cd1 Cd 0.0000 0.0000 0.0000 1
Re1 Re 0.0000 0.5000 0.0000 1
Te1 Te 0.0000 0.0000 0.5000 1
F1 F 0.5000 0.5000 0.5000 1
```

***

DFT (PBE-GGA) results for a geometry-optimized ZnCdReF2 structure.

```
data_ZnCdReF2
_cell_length_a 4.0591
_cell_length_b 4.0591
_cell_length_c 5.2517
_cell_angle_alpha 90.00
_cell_angle_beta 90.00
_cell_angle_gamma 90.00
_symmetry_space_group_name_H-M 'P 4/m m m'
_symmetry_Int_Tables_number 123
_symmetry_space_group_name_Hall '-P 4 2'
loop_
_atom_site_label
_atom_site_type_symbol
_atom_site_fract_x
_atom_site_fract_y
_atom_site_fract_z
_atom_site_occupancy
Zn1 Zn 0.0000 0.0000 0.0000 1
Cd1 Cd 0.5000 0.5000 0.0000 1
Re1 Re 0.0000 0.0000 0.5000 1
F1 F 0.0000 0.5000 0.5000 1
```

***

DFT (PBE-GGA) results for a geometry-optimized CdRhF2 structure.

```
data_CdRhF2
_cell_length_a 6.0637
_cell_length_b 6.0637
_cell_length_c 6.0637
_cell_angle_alpha 90.00
_cell_angle_beta 90.00
_cell_angle_gamma 90.00
_symmetry_space_group_name_H-M 'F m -3 m'
_symmetry_Int_Tables_number 225
_symmetry_space_group_name_Hall '-F 4 2 3'
loop_
_atom_site_label
_atom_site_type_symbol
_atom_site_fract_x
_atom_site_fract_y
_atom_site_fract_z
_atom_site_occupancy
Cd1 Cd 0.0000 0.0000 0.0000 1
Rh1 Rh 0.0000 0.0000 0.5000 1
F1 F 0.2500 0.2500 0.2500 1
```

excess energy over the best structure of this formula in the dataset = 299 meV/atom

***

DFT (PBE-GGA) results for a geometry-optimized Cd2RhF structure.

```
data_Cd2RhF
_cell_length_a 6.8698
_cell_length_b 6.8698
_cell_length_c 6.0177
_cell_angle_alpha 90.00
_cell_angle_beta 90.00
_cell_angle_gamma 90.00
_symmetry_space_group_name_H-M 'I -4 2 d'
_symmetry_Int_Tables_number 122
_symmetry_space_group_name_Hall 'I -4 2bw'
loop_
_atom_site_label
_atom_site_type_symbol
_atom_site_fract_x
_atom_site_fract_y
_atom_site_fract_z
_atom_site_occupancy
Cd1 Cd 0.2087 0.7500 0.1250 1
Rh1 Rh 0.0000 0.0000 0.5000 1
F1 F 0.0000 0.0000 0.0000 1
```

excess energy over the best structure of this formula in the dataset = 0 meV/atom

***

DFT (PBE-GGA) results for a geometry-optimized Cd2RhF8 structure.

```
data_Cd2RhF8
_cell_length_a 9.5805
_cell_length_b 7.3472
_cell_length_c 4.5820
_cell_angle_alpha 90.00
_cell_angle_beta 109.41
_cell_angle_gamma 90.00
_symmetry_space_group_name_H-M 'C 1 2/m 1'
_symmetry_Int_Tables_number 12
loop_
_symmetry_equiv_pos_as_xyz
'x,y,z'
'-x,-y,-z'
'-x,y,-z'
'x,-y,z'
'x+1/2,y+1/2,z'
'-x+1/2,-y+1/2,-z'
'-x+1/2,y+1/2,-z'
'x+1/2,-y+1/2,z'
loop_
_atom_site_label
_atom_site_type_symbol
_atom_site_fract_x
_atom_site_fract_y
_atom_site_fract_z
_atom_site_occupancy
Cd1 Cd 0.1555 0.0000 0.3576 1
Rh1 Rh 0.0000 0.5000 0.0000 1
F1 F 0.0913 0.0000 0.8066 1
F2 F 0.1223 0.5000 0.7456 1
F3 F 0.1375 0.3196 0.2631 1
```

***

DFT (PBE-GGA) results for a geometry-optimized CdRhF6 structure.

```
data_CdRhF6
_cell_length_a 5.2157
_cell_length_b 5.2157
_cell_length_c 9.8424
_cell_angle_alpha 90.00
_cell_angle_beta 90.00
_cell_angle_gamma 120.00
_symmetry_space_group_name_H-M 'P -3 1 c'
_symmetry_Int_Tables_number 163
_symmetry_space_group_name_Hall '-P 3 2c'
loop_
_atom_site_label
_atom_site_type_symbol
_atom_site_fract_x
_atom_site_fract_y
_atom_site_fract_z
_atom_site_occupancy
Cd1 Cd 0.3333 0.6667 0.2500 1
Rh1 Rh 0.0000 0.0000 0.0000 1
F1 F 0.0066 0.3070 0.6158 1
```

excess energy over the best structure of this formula in the dataset = 3 meV/atom

***

DFT (PBE-GGA) results for a geometry-optimized CdRhF4 structure.

```
data_CdRhF4
_cell_length_a 5.9259
_cell_length_b 5.9259
_cell_length_c 5.5110
_cell_angle_alpha 90.00
_cell_angle_beta 90.00
_cell_angle_gamma 90.00
_symmetry_space_group_name_H-M 'I -4'
_symmetry_Int_Tables_number 82
loop_
_symmetry_equiv_pos_as_xyz
'x,y,z'
'y,-x,-z'
'-x,-y,z'
'-y,x,-z'
'x+1/2,y+1/2,z+1/2'
'y+1/2,-x+1/2,-z+1/2'
'-x+1/2,-y+1/2,z+1/2'
'-y+1/2,x+1/2,-z+1/2'
loop_
_atom_site_label
_atom_site_type_symbol
_atom_site_fract_x
_atom_site_fract_y
_atom_site_fract_z
_atom_site_occupancy
Cd1 Cd 0.0000 0.0000 0.0000 1
Rh1 Rh 0.0000 0.5000 0.7500 1
F1 F 0.1966 0.2186 0.7491 1
```

***

DFT (PBE-GGA) results for a geometry-optimized CdRhF3 structure.

```
data_CdRhF3
_cell_length_a 4.4058
_cell_length_b 4.4058
_cell_length_c 4.4058
_cell_angle_alpha 90.00
_cell_angle_beta 90.00
_cell_angle_gamma 90.00
_symmetry_space_group_name_H-M 'P m -3 m'
_symmetry_Int_Tables_number 221
_symmetry_space_group_name_Hall '-P 4 2 3'
loop_
_atom_site_label
_atom_site_type_symbol
_atom_site_fract_x
_atom_site_fract_y
_atom_site_fract_z
_atom_site_occupancy
Cd1 Cd 0.0000 0.0000 0.0000 1
Rh1 Rh 0.5000 0.5000 0.5000 1
F1 F 0.0000 0.0000 0.5000 1
```

excess energy over the best structure of this formula in the dataset = 97 meV/atom

***

DFT (PBE-GGA) results for a geometry-optimized CdRhF6 structure.

```
data_CdRhF6
_cell_length_a 5.2781
_cell_length_b 5.2781
_cell_length_c 14.6104
_cell_angle_alpha 90.00
_cell_angle_beta 90.00
_cell_angle_gamma 120.00
_symmetry_space_group_name_H-M 'R -3'
_symmetry_Int_Tables_number 148
_symmetry_space_group_name_Hall '-R 3'
loop_
_atom_site_label
_atom_site_type_symbol
_atom_site_fract_x
_atom_site_fract_y
_atom_site_fract_z
_atom_site_occupancy
Cd1 Cd 0.0000 0.0000 0.0000 1
Rh1 Rh 0.0000 0.0000 0.5000 1
F1 F 0.0012 0.3011 0.4223 1
```

excess energy over the best structure of this formula in the dataset = 0 meV/atom

***

DFT (PBE-GGA) results for a geometry-optimized CdRhF3 structure.

```
data_CdRhF3
_cell_length_a 4.2431
_cell_length_b 4.2431
_cell_length_c 4.2431
_cell_angle_alpha 90.00
_cell_angle_beta 90.00
_cell_angle_gamma 90.00
_symmetry_space_group_name_H-M 'P m -3 m'
_symmetry_Int_Tables_number 221
_symmetry_space_group_name_Hall '-P 4 2 3'
loop_
_atom_site_label
_atom_site_type_symbol
_atom_site_fract_x
_atom_site_fract_y
_atom_site_fract_z
_atom_site_occupancy
Cd1 Cd 0.0000 0.0000 0.0000 1
Rh1 Rh 0.5000 0.5000 0.5000 1
F1 F 0.0000 0.5000 0.5000 1
```

excess energy over the best structure of this formula in the dataset = 0 meV/atom

***

V, respectively: 94; 169; 130; 153; 87; 223; 284; 304; 232; 194; 86; 352; 76 Å³/cell.
Formation energy without anion corrections, respectively: 747; 111; 1803; 2277; -400; -659; -463; -1856; -1757; -1475; -937; -1760; -1034 meV/atom.
D(E_F), respectively: 0.730; 0.578; 0.580; 0.951; 0.396; 0.534; 0.535; 0.518; 1.059; 0.706; 1.896; 1.103; 0.781 states/eV per atom.